{
  "formula": "BaLiGd2Mo4O16",
  "functional": "GGA+U",
  "state": "relaxed",
  "vol_a3_per_atom": 13.7,
  "e_tot_ev_per_atom": -8.052,
  "lattice": [[-2.375, -2.581, -5.967], [3.012, -2.597, 5.665], [-17.465, -3.763, 8.084]],
  "species": ["O", "O", "O", "O", "O", "Ba", "O", "Mo", "Gd", "O", "O", "Mo", "O", "O", "O", "O", "O", "O", "O", "O", "O", "Ba", "O", "Mo", "Li", "Mo", "O", "O", "O", "O", "Mo", "O", "O", "Mo", "O", "O", "Gd", "O", "O", "Mo", "Mo", "O", "O", "Gd", "O", "Gd", "O", "Li"],
  "frac_coords": [[0.521, 0.799, 0.676], [0.022, 0.440, 0.287], [0.803, 0.708, 0.606], [0.907, 0.606, 0.866], [0.799, 0.521, 0.176], [0.467, 0.533, 0.250], [0.997, 0.658, 0.044], [0.252, 0.757, 0.853], [0.640, 0.359, 0.531], [0.757, 0.719, 0.463], [0.560, 0.978, 0.213], [0.748, 0.243, 0.147], [0.719, 0.757, 0.963], [0.394, 0.093, 0.634], [0.281, 0.243, 0.037], [0.781, 0.938, 0.824], [0.938, 0.781, 0.324], [0.978, 0.560, 0.713], [0.479, 0.201, 0.324], [0.201, 0.479, 0.824], [0.003, 0.342, 0.956], [0.533, 0.467, 0.750], [0.093, 0.394, 0.134], [0.955, 0.082, 0.903], [0.175, 0.825, 0.250], [0.045, 0.918, 0.097], [0.551, 0.081, 0.069], [0.243, 0.281, 0.537], [0.081, 0.551, 0.569], [0.658, 0.997, 0.544], [0.082, 0.955, 0.403], [0.919, 0.449, 0.431], [0.449, 0.919, 0.931], [0.918, 0.045, 0.597], [0.292, 0.197, 0.894], [0.219, 0.062, 0.176], [0.359, 0.640, 0.031], [0.342, 0.003, 0.456], [0.062, 0.219, 0.676], [0.243, 0.748, 0.647], [0.757, 0.252, 0.353], [0.440, 0.022, 0.787], [0.197, 0.292, 0.394], [0.360, 0.641, 0.469], [0.606, 0.907, 0.366], [0.641, 0.360, 0.969], [0.708, 0.803, 0.106], [0.825, 0.175, 0.750]]
}